Compound: TiCo2RuO
Source: Alexandria
Functional: PBE+U
Structure: optimized geometry

a = 3.856 Å, b = 3.856 Å, c = 4.093 Å
α = 90.00°, β = 90.00°, γ = 90.00°
Fractional coordinates of all 5 atoms:
Ti1 0.000 0.000 0.000
Co1 0.000 0.500 0.500
Co2 0.500 0.000 0.500
Ru1 0.500 0.500 0.000
O1 0.000 0.000 0.500

Properties
Total energy, eV per atom: -6.766
Theoretical density, g/cm³: 7.71
Symmetry: No. 123
DOS(E_F), states/eV/f.u.: 2.9
Total magnetic moment, μB per formula unit: 4.0